Computed, not measured: a relaxed structure of Nd3Sm4Pu at the GGA-PBE level of DFT.

The value obtained for the energy of formation from the pure elements is 0.147 eV/atom. The value obtained for the total DFT energy (no corrections) is -46.34 eV per formula unit. The space-group type is Immm, No. 71.

Unit cell a=3.5023 b=11.7824 c=8.9755 alpha=131.00 beta=101.25 gamma=90.00
Last column: nearest neighbours and their distance in Å.
Atoms (fractional coordinates):
Nd 0.0000 0.5000 0.0000  6 Nd 3.50-3.90, 8 Sm 3.85-3.86
Nd 0.7663 0.7663 0.5326  6 Sm 3.46-3.66, 2 Nd 3.50, 2 Pu 3.52
Nd 0.2337 0.2337 0.4674  6 Sm 3.46-3.66, 2 Nd 3.50, 2 Pu 3.52
Sm 0.6314 0.3792 0.2628  1 Pu 3.39, 5 Sm 3.44-3.56, 3 Nd 3.46-3.66
Sm 0.3686 0.6208 0.7372  1 Pu 3.39, 5 Sm 3.44-3.56, 3 Nd 3.46-3.66
Sm 0.3686 0.1162 0.7372  1 Pu 3.39, 5 Sm 3.44-3.56, 3 Nd 3.46-3.66
Sm 0.6314 0.8838 0.2628  1 Pu 3.39, 5 Sm 3.44-3.56, 3 Nd 3.46-3.66
Pu 0.5000 0.0000 0.0000  4 Sm 3.39, 2 Pu 3.50, 4 Nd 3.52